No. 1
The following is a PBE calculation of a relaxed Hf4CoCuAs2 crystal, from the Open Quantum Materials Database.

Cell lengths 5.2879, 3.6811, 7.5795 Å; angles 90.00, 109.59, 90.00 degrees
With the nearest neighbours (Å) after each atom.
Positions (direct):
Hf: 0.0000 0.0000 0.0000  2 Co 2.61, 1 Cu 2.71, 3 As 2.82-2.86
Hf: 0.0575 0.5000 0.6287  4 As 2.72-2.89, 2 Cu 2.73, 1 Co 2.97
Hf: 0.4689 0.0000 0.4711  2 Co 2.68, 4 As 2.74-2.83
Hf: 0.5395 0.5000 0.1350  1 Co 2.60, 2 Cu 2.74, 2 As 2.75
Co: 0.1361 0.5000 0.2588  2 As 2.44, 5 Hf 2.60-2.68
Cu: 0.3999 0.0000 0.8505  2 As 2.43, 1 Hf 2.71
As: 0.6370 0.5000 0.7648  2 Cu 2.43
As: 0.9009 0.0000 0.3481  2 Co 2.44, 2 Hf 2.72

## Properties
**Space-group type**: Pm (6)

***

No. 2
The following is a PBE calculation of a relaxed LiCoCu4As2 crystal, from the Open Quantum Materials Database.

Cell lengths 4.1605, 4.1605, 5.9383 Å; angles 90.00, 90.00, 90.00 degrees
With the nearest neighbours (Å) after each atom.
Positions (direct):
Li: 0.0000 0.0000 0.0000  8 Cu 2.57
Co: 0.5000 0.5000 0.5000  8 Cu 2.55
Cu: 0.0000 0.5000 0.2528  4 As 2.55-2.57, 2 Co 2.55, 2 Li 2.57
Cu: 0.0000 0.5000 0.7472  4 As 2.55-2.57, 2 Co 2.55, 2 Li 2.57
Cu: 0.5000 0.0000 0.2528  4 As 2.55-2.57, 2 Co 2.55, 2 Li 2.57
Cu: 0.5000 0.0000 0.7472  4 As 2.55-2.57, 2 Co 2.55, 2 Li 2.57
As: 0.0000 0.0000 0.5000  8 Cu 2.55
As: 0.5000 0.5000 0.0000  8 Cu 2.57

## Properties
**Space-group type**: P4/mmm (123)

***

No. 3
The following is a PBE calculation of a relaxed Li2CoCuAs2 crystal, from the Open Quantum Materials Database.

Cell lengths 3.8030, 3.8030, 6.1140 Å; angles 90.00, 90.00, 90.00 degrees
With the nearest neighbours (Å) after each atom.
Positions (direct):
Li: 0.0000 0.5000 0.1724  5 As 2.62-2.74, 2 Co 2.76, 2 Cu 2.76
Li: 0.5000 0.0000 0.8276  5 As 2.62-2.74, 2 Co 2.76, 2 Cu 2.76
Co: 0.5000 0.5000 0.5000  4 As 2.42, 4 Cu 2.69
Cu: 0.0000 0.0000 0.5000  4 As 2.42, 4 Co 2.69
As: 0.0000 0.5000 0.7437  2 Co 2.42, 2 Cu 2.42, 1 Li 2.62
As: 0.5000 0.0000 0.2563  2 Co 2.42, 2 Cu 2.42, 1 Li 2.62

## Properties
**Space-group type**: P-4m2 (115)

***

no.,DFT total energy (eV for the cell shown)
1,-65.46
2,-32.69
3,-26.23